(1)
CuBAu2C | PBE-GGA | optimized geometry

a = 4.2760 Å, b = 4.2760 Å, c = 3.9582 Å
α = 90.00°, β = 90.00°, γ = 90.00°
Closest atoms and distances in Å follow each position.
Fractional coordinates of all 5 atoms:
Cu 0.0000 0.0000 0.0000  2 B 1.98
B 0.0000 0.0000 0.5000  2 Cu 1.98, 4 Au 2.14
Au 0.0000 0.5000 0.5000  2 B 2.14
Au 0.5000 0.0000 0.5000  2 B 2.14
C 0.5000 0.5000 0.0000  8 Au 2.91, 4 Cu 3.02

As for the formation energy: 7.336 eV per formula unit. As for the space group: P4/mmm (123).

---

(2)
Nb14FeW | PBE-GGA | optimized geometry

a = 6.5543 Å, b = 6.5543 Å, c = 6.5796 Å
α = 90.00°, β = 90.00°, γ = 90.00°
Closest atoms and distances in Å follow each position.
Fractional coordinates of all 16 atoms:
Nb 0.0000 0.0000 0.0000  8 Nb 2.85
Nb 0.0000 0.5000 0.0000  8 Nb 2.86
Nb 0.0000 0.5000 0.5000  8 Nb 2.82
Nb 0.2485 0.2485 0.2555  1 Fe 2.81, 6 Nb 2.82-2.87, 1 W 2.83
Nb 0.2485 0.2485 0.7445  1 Fe 2.81, 6 Nb 2.82-2.87, 1 W 2.83
Nb 0.2485 0.7515 0.2555  1 Fe 2.81, 6 Nb 2.82-2.87, 1 W 2.83
Nb 0.2485 0.7515 0.7445  1 Fe 2.81, 6 Nb 2.82-2.87, 1 W 2.83
Nb 0.5000 0.0000 0.0000  8 Nb 2.86
Nb 0.5000 0.0000 0.5000  8 Nb 2.82
Nb 0.5000 0.5000 0.0000  8 Nb 2.87
Nb 0.7515 0.2485 0.2555  1 Fe 2.81, 6 Nb 2.82-2.87, 1 W 2.83
Nb 0.7515 0.2485 0.7445  1 Fe 2.81, 6 Nb 2.82-2.87, 1 W 2.83
Nb 0.7515 0.7515 0.2555  1 Fe 2.81, 6 Nb 2.82-2.87, 1 W 2.83
Nb 0.7515 0.7515 0.7445  1 Fe 2.81, 6 Nb 2.82-2.87, 1 W 2.83
Fe 0.0000 0.0000 0.5000  8 Nb 2.81
W 0.5000 0.5000 0.5000  8 Nb 2.83

As for the formation energy: -0.361 eV per formula unit. As for the space group: P4/mmm (123).

---

(3)
DyEr2P3 | PBE-GGA | optimized geometry

a = 7.9511 Å, b = 5.6279 Å, c = 11.9588 Å
α = 90.00°, β = 90.00°, γ = 90.00°
Closest atoms and distances in Å follow each position.
Fractional coordinates of all 24 atoms:
Dy 0.1254 0.2500 0.0831  6 P 2.81-2.83
Dy 0.3746 0.7500 0.5831  6 P 2.81-2.83
Dy 0.6254 0.2500 0.4169  6 P 2.81-2.83
Dy 0.8746 0.7500 0.9169  6 P 2.81-2.83
Er 0.1246 0.2500 0.4166  6 P 2.81
Er 0.1250 0.2500 0.7504  6 P 2.80-2.81
Er 0.3750 0.7500 0.2504  6 P 2.80-2.81
Er 0.3754 0.7500 0.9166  6 P 2.81
Er 0.6246 0.2500 0.0834  6 P 2.81
Er 0.6250 0.2500 0.7496  6 P 2.80-2.81
Er 0.8750 0.7500 0.2496  6 P 2.80-2.81
Er 0.8754 0.7500 0.5834  6 P 2.81
P 0.1237 0.7500 0.4159  5 Er 2.80-2.81, 1 Dy 2.82
P 0.1250 0.7500 0.7502  4 Er 2.81, 2 Dy 2.82
P 0.1263 0.7500 0.0838  3 Er 2.81, 3 Dy 2.81-2.83
P 0.3737 0.2500 0.5838  3 Er 2.81, 3 Dy 2.81-2.83
P 0.3750 0.2500 0.2502  4 Er 2.81, 2 Dy 2.82
P 0.3763 0.2500 0.9159  5 Er 2.80-2.81, 1 Dy 2.82
P 0.6237 0.7500 0.0841  5 Er 2.80-2.81, 1 Dy 2.82
P 0.6250 0.7500 0.7498  4 Er 2.81, 2 Dy 2.82
P 0.6263 0.7500 0.4162  3 Er 2.81, 3 Dy 2.81-2.83
P 0.8737 0.2500 0.9162  3 Er 2.81, 3 Dy 2.81-2.83
P 0.8750 0.2500 0.2498  4 Er 2.81, 2 Dy 2.82
P 0.8763 0.2500 0.5841  5 Er 2.80-2.81, 1 Dy 2.82

As for the formation energy: -9.682 eV per formula unit. As for the space group: Pnma (62).

---

(4)
KBN3 | PBE-GGA | optimized geometry

a = 3.5759 Å, b = 3.5759 Å, c = 3.5759 Å
α = 90.00°, β = 90.00°, γ = 90.00°
Closest atoms and distances in Å follow each position.
Fractional coordinates of all 5 atoms:
K 0.0000 0.0000 0.0000  12 N 2.53
B 0.5000 0.5000 0.5000  6 N 1.79
N 0.0000 0.5000 0.5000  2 B 1.79
N 0.5000 0.0000 0.5000  2 B 1.79
N 0.5000 0.5000 0.0000  2 B 1.79

As for the space group: Pm-3m (221). For the uncorrected formation energy, the calculation gives 1768 meV per atom.

---

(5)
SrAcPd | PBE-GGA | optimized geometry

a = 4.3698 Å, b = 4.3889 Å, c = 12.3152 Å
α = 90.00°, β = 90.07°, γ = 90.00°
Closest atoms and distances in Å follow each position.
Fractional coordinates of all 6 atoms:
Sr 0.2502 0.2500 0.1218  1 Pd 3.06
Sr 0.7498 0.7500 0.8782  1 Pd 3.06
Ac 0.2498 0.2500 0.6218  5 Pd 3.09-3.10
Ac 0.7502 0.7500 0.3782  5 Pd 3.09-3.10
Pd 0.2504 0.2500 0.3705  1 Sr 3.06, 5 Ac 3.09-3.10
Pd 0.7496 0.7500 0.6295  1 Sr 3.06, 5 Ac 3.09-3.10

As for the formation energy: -1.612 eV per formula unit. As for the space group: P2_1/m (11). For the energy above the lowest structure with this stoichiometry, the calculation gives 0.000 eV/f.u.

---

(6)
Zr2SbHRu | PBE-GGA | optimized geometry

a = 4.4164 Å, b = 4.4164 Å, c = 4.1009 Å
α = 90.00°, β = 90.00°, γ = 90.00°
Closest atoms and distances in Å follow each position.
Fractional coordinates of all 5 atoms:
Zr 0.0000 0.5000 0.0000  2 H 2.21
Zr 0.5000 0.0000 0.0000  2 H 2.21
Sb 0.0000 0.0000 0.5000  8 Zr 3.01, 4 Ru 3.12
H 0.5000 0.5000 0.0000  2 Ru 2.05, 4 Zr 2.21
Ru 0.5000 0.5000 0.5000  2 H 2.05

As for the total DFT energy (no corrections): -36.0 eV for the cell shown. As for the space group: P4/mmm (123).

---

(7)
Nd3NiBi | PBE-GGA | optimized geometry

a = 5.3788 Å, b = 5.3788 Å, c = 5.3788 Å
α = 90.00°, β = 90.00°, γ = 90.00°
Closest atoms and distances in Å follow each position.
Fractional coordinates of all 5 atoms:
Nd 0.0000 0.0000 0.5000  2 Ni 2.69
Nd 0.0000 0.5000 0.0000  2 Ni 2.69
Nd 0.5000 0.0000 0.0000  2 Ni 2.69
Ni 0.0000 0.0000 0.0000  6 Nd 2.69
Bi 0.5000 0.5000 0.5000  12 Nd 3.80

As for the formation energy: -1.744 eV per formula unit. As for the space group: Pm-3m (221). For the energy above the lowest structure with this stoichiometry, the calculation gives 0.104 eV/f.u.

---

(8)
RbInTe | PBE-GGA | optimized geometry

a = 7.2533 Å, b = 7.2533 Å, c = 5.6274 Å
α = 112.83°, β = 112.83°, γ = 86.02°
Closest atoms and distances in Å follow each position.
Fractional coordinates of all 6 atoms:
Rb 0.1442 0.8558 0.5000  4 Te 3.75-3.76, 2 Rb 4.01, 3 In 4.07-4.11
Rb 0.8558 0.1442 0.0000  4 Te 3.75-3.76, 2 Rb 4.01, 3 In 4.07-4.11
In 0.4427 0.5544 0.0025  2 Te 2.96, 2 In 3.02
In 0.5544 0.4427 0.5025  2 Te 2.96, 2 In 3.02
Te 0.5010 0.9984 0.2491  2 In 2.96
Te 0.9984 0.5010 0.7491  2 In 2.96

As for the space group: Cc (9). For the energy above the lowest structure with this stoichiometry, the calculation gives 0.114 eV/f.u. For the uncorrected formation energy, the calculation gives -628 meV per atom.

---

(9)
Pm2TlTe3 | PBE-GGA | optimized geometry

a = 4.3816 Å, b = 13.1793 Å, c = 7.5607 Å
α = 90.00°, β = 90.00°, γ = 90.00°
Closest atoms and distances in Å follow each position.
Fractional coordinates of all 12 atoms:
Pm 0.0000 0.0026 0.0000  6 Te 3.16-3.21
Pm 0.0000 0.9974 0.5000  6 Te 3.16-3.21
Pm 0.5000 0.2817 0.9966  5 Te 3.06-3.15
Pm 0.5000 0.7183 0.4966  5 Te 3.06-3.15
Tl 0.5000 0.3874 0.5086  6 Te 3.46-3.79
Tl 0.5000 0.6126 0.0086  6 Te 3.46-3.79
Te 0.0000 0.1938 0.7403  4 Pm 3.15-3.19
Te 0.0000 0.4206 0.1592  2 Pm 3.11, 2 Tl 3.46
Te 0.0000 0.5794 0.6592  2 Pm 3.11, 2 Tl 3.46
Te 0.0000 0.8062 0.2403  4 Pm 3.15-3.19
Te 0.5000 0.1029 0.2555  5 Pm 3.06-3.21
Te 0.5000 0.8971 0.7555  5 Pm 3.06-3.21

As for the space group: Pmc2_1 (26). For the energy above the lowest structure with this stoichiometry, the calculation gives 0.593 eV/f.u. For the uncorrected formation energy, the calculation gives -1084 meV per atom.

---

(10)
BeSi2Pb | PBE-GGA | optimized geometry

a = 3.1727 Å, b = 3.1727 Å, c = 7.5067 Å
α = 90.00°, β = 90.00°, γ = 103.18°
Closest atoms and distances in Å follow each position.
Fractional coordinates of all 4 atoms:
Be 0.0000 0.0000 0.0000  4 Si 2.33
Si 0.5000 0.5000 0.1651  2 Be 2.33, 1 Si 2.48
Si 0.5000 0.5000 0.8349  2 Be 2.33, 1 Si 2.48
Pb 0.0000 0.0000 0.5000  4 Pb 3.17, 8 Si 3.19-3.54

As for the space group: Cmmm (65). For the energy above the lowest structure with this stoichiometry, the calculation gives 0.567 eV/f.u. For the uncorrected formation energy, the calculation gives 504 meV per atom.

---

(11)
CoCuPd2 | PBE-GGA | optimized geometry

a = 5.4579 Å, b = 5.4579 Å, c = 5.4579 Å
α = 103.56°, β = 103.56°, γ = 122.09°
Closest atoms and distances in Å follow each position.
Fractional coordinates of all 8 atoms:
Co 0.0000 0.0000 0.0000  4 Pd 2.44, 2 Cu 2.64
Co 0.7500 0.2500 0.5000  4 Pd 2.44, 2 Cu 2.64
Cu 0.2500 0.7500 0.5000  4 Pd 2.52, 2 Co 2.64
Cu 0.5000 0.5000 0.0000  4 Pd 2.52, 2 Co 2.64
Pd 0.1158 0.1250 0.4908  2 Co 2.44, 2 Cu 2.52, 2 Pd 2.65
Pd 0.3750 0.8842 0.0092  2 Co 2.44, 2 Cu 2.52, 2 Pd 2.65
Pd 0.6342 0.6250 0.5092  2 Co 2.44, 2 Cu 2.52, 2 Pd 2.65
Pd 0.8750 0.3658 0.9908  2 Co 2.44, 2 Cu 2.52, 2 Pd 2.65

As for the formation energy: 1.653 eV per formula unit. As for the space group: I-42d (122).

---

Please write out number 7 again, unchanged.
Nd3NiBi | PBE-GGA | optimized geometry

a = 5.3788 Å, b = 5.3788 Å, c = 5.3788 Å
α = 90.00°, β = 90.00°, γ = 90.00°
Closest atoms and distances in Å follow each position.
Fractional coordinates of all 5 atoms:
Nd 0.0000 0.0000 0.5000  2 Ni 2.69
Nd 0.0000 0.5000 0.0000  2 Ni 2.69
Nd 0.5000 0.0000 0.0000  2 Ni 2.69
Ni 0.0000 0.0000 0.0000  6 Nd 2.69
Bi 0.5000 0.5000 0.5000  12 Nd 3.80

As for the formation energy: -1.744 eV per formula unit. As for the space group: Pm-3m (221). For the energy above the lowest structure with this stoichiometry, the calculation gives 0.104 eV/f.u.